[1]
Below is a relaxed structure of TlHgPO, with properties calculated at the PBE level.

```
TlHgPO
1.0
4.1631 0.0000 0.0000
0.0000 6.7009 0.0000
0.0000 0.0000 6.4918
Tl Hg P O
2 2 2 2
Direct
0.0000 0.1523 0.0000 Tl
0.0000 0.8477 0.5000 Tl
0.5000 0.3268 0.4545 Hg
0.5000 0.6732 0.9545 Hg
0.5000 0.3140 0.8420 P
0.5000 0.6860 0.3420 P
0.0000 0.1530 0.3459 O
0.0000 0.8470 0.8459 O
```

Summary:
E above lowest polymorph: 24.6 kJ/mol of formula units

---

[2]
Below is a relaxed structure of Zr4AlPbN2, with properties calculated at the PBE level.

```
Zr4AlPbN2
1.0
3.2917 0.0000 0.0000
-1.6458 2.8507 0.0000
0.0000 0.0000 14.7137
Zr Al Pb N
4 1 1 2
Direct
0.0000 0.0000 0.1570 Zr
0.0000 0.0000 0.8430 Zr
0.6667 0.3333 0.3294 Zr
0.6667 0.3333 0.6706 Zr
0.6667 0.3333 0.0000 Al
0.0000 0.0000 0.5000 Pb
0.3333 0.6667 0.2421 N
0.3333 0.6667 0.7579 N
```

Summary:
E: -8.298 eV/atom

---

[3]
Below is a relaxed structure of Cu3Ag, with properties calculated at the PBE level.

```
Cu3Ag
1.0
8.7571 -1.3468 0.0000
8.7571 1.3468 0.0000
-0.4211 0.0000 4.6179
Cu Ag
6 2
Direct
0.0563 0.0563 0.1931 Cu
0.1850 0.1850 0.5609 Cu
0.4402 0.4402 0.3211 Cu
0.5598 0.5598 0.6789 Cu
0.8150 0.8150 0.4391 Cu
0.9437 0.9437 0.8069 Cu
0.3183 0.3183 0.9347 Ag
0.6817 0.6817 0.0653 Ag
```

Summary:
E: -3.408 eV/atom

---

[4]
Below is a relaxed structure of Pr4S3N, with properties calculated at the PBE level.

```
Pr4S3N
1.0
-2.8454 2.8454 5.6640
2.8454 -2.8454 5.6640
2.8454 2.8454 -5.6640
Pr S N
4 3 1
Direct
0.0000 0.5000 0.5000 Pr
0.2194 0.2194 0.0000 Pr
0.5000 0.0000 0.5000 Pr
0.7806 0.7806 0.0000 Pr
0.2500 0.7500 0.5000 S
0.5000 0.5000 0.0000 S
0.7500 0.2500 0.5000 S
0.0000 0.0000 0.0000 N
```

Summary:
E: -6.760 eV/atom

---

[5]
Below is a relaxed structure of Hf3As4Os4, with properties calculated at the PBE level.

```
Hf3As4Os4
1.0
6.3377 0.0000 0.0000
0.0000 4.0691 0.0000
-0.1524 0.0000 7.5020
Hf As Os
3 4 4
Direct
0.0000 0.0000 0.0000 Hf
0.0489 0.5000 0.6379 Hf
0.5332 0.5000 0.4775 Hf
0.2422 0.0000 0.4194 As
0.3158 0.5000 0.9714 As
0.7289 0.0000 0.6822 As
0.7583 0.5000 0.1731 As
0.1403 0.5000 0.2587 Os
0.3311 0.0000 0.7564 Os
0.6740 0.5000 0.8512 Os
0.8452 0.0000 0.3684 Os
```

Summary:
E: -8.883 eV/atom

---

[6]
Below is a relaxed structure of BaSn2HgPt, with properties calculated at the PBE level.

```
BaSn2HgPt
1.0
4.8814 0.0000 0.0000
0.0000 4.8814 0.0000
0.0000 0.0000 11.3298
Ba Sn Hg Pt
2 4 2 2
Direct
0.2500 0.2500 0.2463 Ba
0.7500 0.7500 0.7537 Ba
0.2500 0.2500 0.6547 Sn
0.2500 0.7500 0.0000 Sn
0.7500 0.2500 0.0000 Sn
0.7500 0.7500 0.3453 Sn
0.2500 0.7500 0.5000 Hg
0.7500 0.2500 0.5000 Hg
0.2500 0.2500 0.8898 Pt
0.7500 0.7500 0.1102 Pt
```

Summary:
E: -3.908 eV/atom

---

[7]
Below is a relaxed structure of TaZnCuRe, with properties calculated at the PBE level.

```
TaZnCuRe
1.0
0.0000 3.1068 3.1068
3.1068 0.0000 3.1068
3.1068 3.1068 0.0000
Ta Zn Cu Re
1 1 1 1
Direct
0.0000 0.0000 0.0000 Ta
0.5000 0.5000 0.5000 Zn
0.7500 0.7500 0.7500 Cu
0.2500 0.2500 0.2500 Re
```

Summary:
E above lowest polymorph: 0.0 kJ/mol of formula units

---

[8]
Below is a relaxed structure of ErAgPt, with properties calculated at the PBE level.

```
ErAgPt
1.0
0.0000 3.2856 3.2856
3.2856 0.0000 3.2856
3.2856 3.2856 0.0000
Er Ag Pt
1 1 1
Direct
0.0000 0.0000 0.0000 Er
0.7500 0.7500 0.7500 Ag
0.2500 0.2500 0.2500 Pt
```

Summary:
E above lowest polymorph: 91.3 kJ/mol of formula units

---

[9]
Below is a relaxed structure of SrHf3Zn2, with properties calculated at the PBE level.

```
SrHf3Zn2
1.0
3.3149 0.0000 0.0000
0.0000 3.3149 0.0000
0.0000 0.0000 12.2014
Sr Hf Zn
1 3 2
Direct
0.0000 0.0000 0.0000 Sr
0.0000 0.0000 0.6718 Hf
0.5000 0.5000 0.2345 Hf
0.5000 0.5000 0.5108 Hf
0.0000 0.0000 0.3684 Zn
0.5000 0.5000 0.8090 Zn
```

Summary:
E: -5.667 eV/atom

---

[10]
Below is a relaxed structure of PrAlTe3Pb, with properties calculated at the PBE level.

```
PrAlTe3Pb
1.0
2.2690 -7.3629 0.0000
2.2690 7.3629 0.0000
0.0000 0.0000 11.3915
Pr Al Te Pb
2 2 6 2
Direct
0.0000 0.0000 0.0000 Pr
0.0000 0.0000 0.5000 Pr
0.4770 0.5230 0.7500 Al
0.5230 0.4770 0.2500 Al
0.0982 0.9018 0.7500 Te
0.3517 0.6483 0.5599 Te
0.3517 0.6483 0.9401 Te
0.6483 0.3517 0.0599 Te
0.6483 0.3517 0.4401 Te
0.9018 0.0982 0.2500 Te
0.2091 0.7909 0.2500 Pb
0.7909 0.2091 0.7500 Pb
```

Summary:
E: -4.193 eV/atom

---

[11]
Below is a relaxed structure of Tm4TlCdN2, with properties calculated at the PBE level.

```
Tm4TlCdN2
1.0
3.4547 0.0000 0.0000
-1.7274 2.9919 0.0000
0.0000 0.0000 15.5473
Tm Tl Cd N
4 1 1 2
Direct
0.0000 0.0000 0.1651 Tm
0.0000 0.0000 0.8349 Tm
0.6667 0.3333 0.3338 Tm
0.6667 0.3333 0.6662 Tm
0.0000 0.0000 0.5000 Tl
0.6667 0.3333 0.0000 Cd
0.3333 0.6667 0.2521 N
0.3333 0.6667 0.7479 N
```

Summary:
E: -5.721 eV/atom

---

[12]
Below is a relaxed structure of Sc4FeCuC2, with properties calculated at the PBE level.

```
Sc4FeCuC2
1.0
3.3076 0.0000 0.0000
-1.6538 2.8645 0.0000
0.0000 0.0000 13.4087
Sc Fe Cu C
4 1 1 2
Direct
0.0000 0.0000 0.1546 Sc
0.0000 0.0000 0.8454 Sc
0.6667 0.3333 0.3394 Sc
0.6667 0.3333 0.6606 Sc
0.6667 0.3333 0.0000 Fe
0.0000 0.0000 0.5000 Cu
0.3333 0.6667 0.2515 C
0.3333 0.6667 0.7485 C
```

Summary:
E: -7.147 eV/atom

---

What did the ninth record say?
Below is a relaxed structure of SrHf3Zn2, with properties calculated at the PBE level.

```
SrHf3Zn2
1.0
3.3149 0.0000 0.0000
0.0000 3.3149 0.0000
0.0000 0.0000 12.2014
Sr Hf Zn
1 3 2
Direct
0.0000 0.0000 0.0000 Sr
0.0000 0.0000 0.6718 Hf
0.5000 0.5000 0.2345 Hf
0.5000 0.5000 0.5108 Hf
0.0000 0.0000 0.3684 Zn
0.5000 0.5000 0.8090 Zn
```

Summary:
E: -5.667 eV/atom